(1)
4
Lattice="-2.038 -4.261 2.767 -5.382 -0.996 -0.083 -1.938 -4.346 -2.706" Properties=species:S:1:pos:R:3 comment="SnHgPb2, relaxed, DFT PBE" e_form_mev_per_atom=36 de_polymorph_ev_per_atom=0.015 mass_density_g_cm3=10.51 volume_a3_per_atom=29.0 sg="No. 225" dos_ef_per_ev_fu=2.0 pbc="T T T"
Pb -2.339 -2.401 -0.005
Pb -7.018 -7.202 -0.016
Hg -4.679 -4.801 -0.011
Sn 0.000 0.000 0.000


(2)
4
Lattice="-1.062 -3.616 -2.524 -2.255 -3.473 1.850 -6.993 0.554 -1.926" Properties=species:S:1:pos:R:3 comment="Sn2HgPb, relaxed, DFT PBE" e_form_mev_per_atom=122 de_polymorph_ev_per_atom=0.084 mass_density_g_cm3=8.86 volume_a3_per_atom=30.2 sg="No. 160" dos_ef_per_ev_fu=2.2 pbc="T T T"
Sn -5.698 -0.088 -1.552
Sn -2.423 -1.710 -0.606
Hg -9.158 -4.195 -2.363
Pb -5.179 -3.256 -1.307


(3)
20
Lattice="-0.188 0.715 -3.352 10.683 -6.965 -2.085 -12.746 -7.858 -0.960" Properties=species:S:1:pos:R:3 comment="Sn3HgPb6, relaxed, DFT PBE" e_form_mev_per_atom=51 de_polymorph_ev_per_atom=0.000 mass_density_g_cm3=9.85 volume_a3_per_atom=30.4 sg="No. 11" dos_ef_per_ev_fu=6.0 pbc="T T T"
Sn -6.011 -10.410 -4.518
Sn 3.760 -3.698 -1.879
Sn 0.105 -7.725 -4.290
Sn -2.356 -6.383 -2.108
Sn 1.006 -2.017 -3.123
Sn -3.256 -12.092 -3.274
Hg -8.000 -5.312 -3.320
Hg 5.749 -8.797 -3.078
Pb -2.983 -8.896 -4.366
Pb 0.732 -5.213 -2.031
Pb 9.071 -6.792 -4.594
Pb -11.322 -7.316 -1.803
Pb -8.651 -8.419 -3.945
Pb 6.401 -5.690 -2.452
Pb 3.342 -6.349 -4.178
Pb -5.593 -7.760 -2.219
Pb -4.824 -4.435 -3.311
Pb 2.573 -9.674 -3.086
Pb -0.262 -10.992 -4.966
Pb -1.989 -3.116 -1.432


(4)
9
Lattice="3.454 0.000 0.000 -1.727 2.991 0.000 0.000 0.000 26.465" Properties=species:S:1:pos:R:3 comment="Sn2HgPb6, relaxed, DFT PBE" e_form_mev_per_atom=42 de_polymorph_ev_per_atom=0.005 mass_density_g_cm3=10.21 volume_a3_per_atom=30.4 sg="No. 187" dos_ef_per_ev_fu=4.0 pbc="T T T"
Sn 1.727 0.997 8.761
Sn 1.727 0.997 17.704
Hg 0.000 1.994 0.000
Pb 1.727 0.997 23.590
Pb 0.000 1.994 11.574
Pb 0.000 1.994 20.613
Pb 0.000 1.994 5.852
Pb 0.000 1.994 14.891
Pb 1.727 0.997 2.875


(5)
18
Lattice="6.866 0.106 0.812 1.087 8.182 4.408 0.633 -0.185 9.334" Properties=species:S:1:pos:R:3 comment="Sn2Hg3Pb4, relaxed, DFT PBE" e_form_mev_per_atom=36 mass_density_g_cm3=10.55 volume_a3_per_atom=29.2 sg="No. 15" dos_ef_per_ev_fu=3.8 pbc="T T T"
Sn 2.339 6.928 8.428
Sn 2.983 4.224 3.893
Sn 6.247 1.175 6.125
Sn 5.603 3.879 10.660
Hg 3.706 6.788 11.766
Hg 1.452 1.354 2.328
Hg 4.880 1.315 2.788
Hg 7.134 6.749 12.226
Hg 2.581 4.112 7.023
Hg 6.005 3.991 7.531
Pb 4.145 1.343 8.864
Pb 0.714 1.296 8.469
Pb 4.441 6.760 5.689
Pb 7.872 6.807 6.085
Pb 5.802 6.806 9.004
Pb 6.364 4.046 4.368
Pb 2.785 1.297 5.549
Pb 2.222 4.057 10.185


(6)
19
Lattice="-1.256 -3.089 7.656 8.317 -0.117 0.740 -0.644 7.935 2.519" Properties=species:S:1:pos:R:3 comment="Sn12HgPb6, relaxed, DFT PBE" e_form_mev_per_atom=89 mass_density_g_cm3=8.23 volume_a3_per_atom=30.5 sg="No. 148" dos_ef_per_ev_fu=10.2 pbc="T T T"
Sn 0.656 2.707 5.482
Sn 3.953 3.427 3.232
Sn 3.490 -0.164 5.061
Sn 5.761 2.023 5.433
Sn 2.464 1.303 7.683
Sn 2.927 4.894 5.854
Sn 0.378 5.473 4.091
Sn 5.349 6.051 4.286
Sn 0.174 3.215 8.557
Sn 6.039 -0.743 6.824
Sn 1.067 -1.320 6.629
Sn 6.243 1.515 2.358
Hg 0.000 0.000 0.000
Pb 1.072 3.093 1.884
Pb 3.145 4.618 9.033
Pb 6.329 4.667 7.140
Pb 5.345 1.637 9.031
Pb 3.272 0.112 1.882
Pb 0.088 0.063 3.775


(7)
14
Lattice="-4.804 -1.561 6.541 -2.960 -3.951 -6.628 7.677 -2.613 1.594" Properties=species:S:1:pos:R:3 comment="Sn5HgPb8, relaxed, DFT PBE" e_form_mev_per_atom=87 mass_density_g_cm3=9.37 volume_a3_per_atom=31.0 sg="No. 82" dos_ef_per_ev_fu=8.6 pbc="T T T"
Sn -0.178 -1.763 -2.053
Sn -5.066 -5.496 0.180
Sn -0.526 -5.467 1.815
Sn 1.436 -2.087 4.067
Sn 5.595 -3.525 3.073
Hg 3.077 -4.326 -0.483
Pb -2.455 -3.254 -3.935
Pb 0.469 -3.623 6.753
Pb -1.674 -3.148 3.820
Pb 2.648 -4.949 2.972
Pb -2.328 -3.769 -0.311
Pb 1.038 -6.818 -0.732
Pb 0.774 -2.555 0.929
Pb 1.179 -4.385 -3.467


(8)
4
Lattice="4.821 0.000 0.000 0.000 3.442 -0.442 0.000 0.796 6.858" Properties=species:S:1:pos:R:3 comment="SnHgPb2, relaxed, DFT PBE" e_form_mev_per_atom=22 de_polymorph_ev_per_atom=0.000 mass_density_g_cm3=10.55 volume_a3_per_atom=28.9 sg="No. 10" dos_ef_per_ev_fu=1.8 pbc="T T T"
Sn 2.411 1.920 1.493
Hg 2.411 2.317 4.922
Pb 0.000 4.219 6.396
Pb 0.000 0.416 3.449


(9)
4
Lattice="3.398 0.000 0.000 1.699 2.943 0.000 1.699 0.981 11.484" Properties=species:S:1:pos:R:3 comment="SnHg2Pb, relaxed, DFT PBE" e_form_mev_per_atom=62 mass_density_g_cm3=10.51 volume_a3_per_atom=28.7 sg="No. 166" dos_ef_per_ev_fu=2.6 pbc="T T T"
Pb 0.000 0.000 0.000
Hg 1.699 0.981 8.420
Hg 5.097 2.943 3.064
Sn 3.398 1.962 5.742


(10)
18
Lattice="6.008 -0.248 -0.240 1.596 9.592 1.210 1.596 1.520 9.548" Properties=species:S:1:pos:R:3 comment="Sn2HgPb6, relaxed, DFT PBE" e_form_mev_per_atom=37 de_polymorph_ev_per_atom=0.000 mass_density_g_cm3=10.23 volume_a3_per_atom=30.3 sg="No. 15" dos_ef_per_ev_fu=5.0 pbc="T T T"
Sn 4.645 6.321 8.081
Sn 1.552 2.707 4.582
Sn 4.556 4.543 2.437
Sn 7.649 8.157 5.936
Hg 3.098 2.465 8.448
Hg 6.103 8.399 2.070
Pb 4.654 7.105 4.835
Pb 1.543 5.926 3.693
Pb 4.547 3.759 5.683
Pb 7.658 4.938 6.824
Pb 4.571 1.265 3.276
Pb 7.634 7.425 9.240
Pb 4.630 9.599 7.242
Pb 1.567 3.439 1.278
Pb 3.131 7.269 1.012
Pb 3.066 9.741 3.406
Pb 6.070 3.596 9.505
Pb 6.135 1.123 7.112


(11)
12
Lattice="-2.609 -1.813 1.156 5.058 -5.988 -2.919 6.334 -2.407 10.519" Properties=species:S:1:pos:R:3 comment="Sn2Hg5Pb5, relaxed, DFT PBE" e_form_mev_per_atom=44 mass_density_g_cm3=11.04 volume_a3_per_atom=28.5 sg="No. 12" dos_ef_per_ev_fu=5.0 pbc="T T T"
Sn 7.197 -9.542 6.218
Sn 1.588 -0.666 2.538
Hg 3.367 -3.113 2.717
Hg 5.176 -5.132 8.575
Hg 3.608 -5.076 0.180
Hg 5.417 -7.095 6.039
Hg 0.000 0.000 0.000
Pb 1.863 -2.110 5.838
Pb 0.523 -3.473 0.677
Pb 3.759 -6.421 3.354
Pb 5.025 -3.786 5.402
Pb 8.261 -6.735 8.079